[1]
SrTl4Pt2 | GGA-PBE | relaxed

Values from the calculation:
Electronic total energy, eV/cell: -101.47
ρ, g cm⁻³: 12.134
DOS(E_F), states/eV/f.u.: 2.2

Unit cell a=19.6014 b=4.4423 c=8.1433 alpha=90.00 beta=90.00 gamma=90.00
Last column: nearest neighbours and their distance in Å.
Fractional positions:
Sr1 0.1432 0.2500 0.0651  4 Pt 3.37-3.40, 9 Tl 3.37-3.69
Sr2 0.3568 0.7500 0.5651  4 Pt 3.37-3.40, 9 Tl 3.37-3.69
Sr3 0.6432 0.2500 0.4349  4 Pt 3.37-3.40, 9 Tl 3.37-3.69
Sr4 0.8568 0.7500 0.9349  4 Pt 3.37-3.40, 9 Tl 3.37-3.69
Tl1 0.0304 0.7500 0.8551  2 Pt 2.89, 1 Tl 3.17
Tl2 0.0725 0.2500 0.5139  4 Pt 2.92-3.02
Tl3 0.1873 0.7500 0.7617  3 Pt 2.86-2.98, 1 Tl 3.17
Tl4 0.1896 0.7500 0.3559  4 Pt 2.87-2.92
Tl5 0.3104 0.2500 0.8559  4 Pt 2.87-2.92
Tl6 0.3127 0.2500 0.2617  3 Pt 2.86-2.98, 1 Tl 3.17
Tl7 0.4275 0.7500 0.0139  4 Pt 2.92-3.02
Tl8 0.4696 0.2500 0.3551  2 Pt 2.89, 1 Tl 3.17
Tl9 0.5304 0.7500 0.6449  2 Pt 2.89, 1 Tl 3.17
Tl10 0.5725 0.2500 0.9861  4 Pt 2.92-3.02
Tl11 0.6873 0.7500 0.7383  3 Pt 2.86-2.98, 1 Tl 3.17
Tl12 0.6896 0.7500 0.1441  4 Pt 2.87-2.92
Tl13 0.8104 0.2500 0.6441  4 Pt 2.87-2.92
Tl14 0.8127 0.2500 0.2383  3 Pt 2.86-2.98, 1 Tl 3.17
Tl15 0.9275 0.7500 0.4861  4 Pt 2.92-3.02
Tl16 0.9696 0.2500 0.1449  2 Pt 2.89, 1 Tl 3.17
Pt1 0.0473 0.7500 0.2734  6 Tl 2.87-3.00
Pt2 0.2256 0.2500 0.5615  7 Tl 2.86-3.02
Pt3 0.2744 0.7500 0.0615  7 Tl 2.86-3.02
Pt4 0.4527 0.2500 0.7734  6 Tl 2.87-3.00
Pt5 0.5473 0.7500 0.2266  6 Tl 2.87-3.00
Pt6 0.7256 0.2500 0.9385  7 Tl 2.86-3.02
Pt7 0.7744 0.7500 0.4385  7 Tl 2.86-3.02
Pt8 0.9527 0.2500 0.7266  6 Tl 2.87-3.00

---

[2]
SrTlPt10 | GGA-PBE | relaxed

Values from the calculation:
Electronic total energy, eV/cell: -67.67
ρ, g cm⁻³: 16.409
DOS(E_F), states/eV/f.u.: 8.8

Unit cell a=4.4303 b=5.4557 c=9.3902 alpha=90.00 beta=90.00 gamma=90.00
Last column: nearest neighbours and their distance in Å.
Fractional positions:
Sr1 0.0000 0.0000 0.0000  18 Pt 3.19-3.51
Tl1 0.0000 0.5000 0.5000  6 Pt 3.01-3.11
Pt1 0.0000 0.0000 0.3402  6 Pt 2.68-2.74
Pt2 0.0000 0.0000 0.6598  6 Pt 2.68-2.74
Pt3 0.0000 0.5000 0.1789  6 Pt 2.69-2.78
Pt4 0.0000 0.5000 0.8211  6 Pt 2.69-2.78
Pt5 0.5000 0.0000 0.5000  8 Pt 2.68-2.72
Pt6 0.5000 0.2481 0.2484  8 Pt 2.69-2.75
Pt7 0.5000 0.2481 0.7516  8 Pt 2.69-2.75
Pt8 0.5000 0.5000 0.0000  8 Pt 2.71-2.78
Pt9 0.5000 0.7519 0.2484  8 Pt 2.69-2.75
Pt10 0.5000 0.7519 0.7516  8 Pt 2.69-2.75

---

[3]
SrTl2Pt9 | GGA-PBE | relaxed

Values from the calculation:
Electronic total energy, eV/cell: -64.42
ρ, g cm⁻³: 16.267
DOS(E_F), states/eV/f.u.: 10.5

Unit cell a=9.2777 b=9.2777 c=9.2777 alpha=34.61 beta=34.61 gamma=34.61
Last column: nearest neighbours and their distance in Å.
Fractional positions:
Sr1 0.0000 0.0000 0.0000  18 Pt 3.19-3.52
Tl1 0.1409 0.1409 0.1409  12 Pt 3.14-3.26, 3 Tl 3.46
Tl2 0.8591 0.8591 0.8591  12 Pt 3.14-3.26, 3 Tl 3.46
Pt1 0.0806 0.5853 0.5853  7 Pt 2.69-2.79
Pt2 0.3331 0.3331 0.3331  6 Pt 2.69-2.72
Pt3 0.4147 0.4147 0.9194  7 Pt 2.69-2.79
Pt4 0.4147 0.9194 0.4147  7 Pt 2.69-2.79
Pt5 0.5000 0.5000 0.5000  6 Pt 2.70
Pt6 0.5853 0.0806 0.5853  7 Pt 2.69-2.79
Pt7 0.5853 0.5853 0.0806  7 Pt 2.69-2.79
Pt8 0.6669 0.6669 0.6669  6 Pt 2.69-2.72
Pt9 0.9194 0.4147 0.4147  7 Pt 2.69-2.79

---

[4]
SrTlPt2 | GGA-PBE | relaxed

Values from the calculation:
Electronic total energy, eV/cell: -17.44
ρ, g cm⁻³: 12.883
DOS(E_F), states/eV/f.u.: 1.7

Unit cell a=4.7883 b=4.7883 c=3.8640 alpha=90.00 beta=90.00 gamma=97.03
Last column: nearest neighbours and their distance in Å.
Fractional positions:
Sr1 0.0000 0.0000 0.0000  8 Pt 3.08, 2 Tl 3.17
Tl1 0.5000 0.5000 0.0000  8 Pt 3.08, 2 Sr 3.17
Pt1 0.0000 0.5000 0.5000  4 Sr 3.08, 4 Tl 3.08, 2 Pt 3.17
Pt2 0.5000 0.0000 0.5000  4 Sr 3.08, 4 Tl 3.08, 2 Pt 3.17

---

[5]
SrTl2Pt | GGA-PBE | relaxed

Values from the calculation:
Electronic total energy, eV/cell: -13.11
ρ, g cm⁻³: 9.911
DOS(E_F), states/eV/f.u.: 1.6

Unit cell a=6.7275 b=6.7275 c=4.2359 alpha=108.31 beta=108.31 gamma=124.75
Last column: nearest neighbours and their distance in Å.
Fractional positions:
Sr1 0.0000 0.0000 0.0000  4 Pt 3.12-3.13, 4 Tl 3.36
Tl1 0.0000 0.5000 0.0000  4 Tl 3.12-3.13, 2 Sr 3.36, 2 Pt 3.36
Tl2 0.5000 0.0000 0.0000  4 Tl 3.12-3.13, 2 Sr 3.36, 2 Pt 3.36
Pt1 0.5000 0.5000 0.0000  4 Sr 3.12-3.13, 4 Tl 3.36

---

[6]
SrTl3Pt8 | GGA-PBE | relaxed

Values from the calculation:
Electronic total energy, eV/cell: -60.86
ρ, g cm⁻³: 16.009
DOS(E_F), states/eV/f.u.: 8.1

Unit cell a=9.4922 b=9.4922 c=9.4922 alpha=33.70 beta=33.70 gamma=33.70
Last column: nearest neighbours and their distance in Å.
Fractional positions:
Sr1 0.0000 0.0000 0.0000  12 Pt 3.23-3.24, 4 Tl 3.39-3.40
Tl1 0.3781 0.3781 0.3781  12 Pt 3.19-3.30, 1 Tl 3.30, 3 Sr 3.40
Tl2 0.5011 0.5011 0.5011  12 Pt 3.18-3.22, 4 Tl 3.30-3.35
Tl3 0.8737 0.8737 0.8737  12 Pt 3.16-3.23, 3 Tl 3.35, 1 Sr 3.39
Pt1 0.1878 0.1878 0.1878  6 Pt 2.73
Pt2 0.4372 0.4372 0.9366  6 Pt 2.73-2.76
Pt3 0.4372 0.9366 0.4372  6 Pt 2.73-2.76
Pt4 0.4402 0.9376 0.9376  6 Pt 2.73-2.77
Pt5 0.6878 0.6878 0.6878  6 Pt 2.75-2.76
Pt6 0.9366 0.4372 0.4372  6 Pt 2.73-2.76
Pt7 0.9376 0.4402 0.9376  6 Pt 2.73-2.77
Pt8 0.9376 0.9376 0.4402  6 Pt 2.73-2.77

---

[7]
SrTl2Pt | GGA-PBE | relaxed

Values from the calculation:
Electronic total energy, eV/cell: -113.68
ρ, g cm⁻³: 10.759
DOS(E_F), states/eV/f.u.: 2.1

Unit cell a=16.5324 b=8.6064 c=6.0002 alpha=90.00 beta=90.00 gamma=90.00
Last column: nearest neighbours and their distance in Å.
Fractional positions:
Sr1 0.1048 0.2500 0.2427  3 Pt 3.21-3.25, 4 Tl 3.49-3.56
Sr2 0.1415 0.7500 0.0279  3 Pt 3.18-3.25, 4 Tl 3.51-3.55
Sr3 0.3585 0.2500 0.5279  3 Pt 3.18-3.25, 4 Tl 3.51-3.55
Sr4 0.3952 0.7500 0.7427  3 Pt 3.21-3.25, 4 Tl 3.49-3.56
Sr5 0.6048 0.2500 0.2573  3 Pt 3.21-3.25, 4 Tl 3.49-3.56
Sr6 0.6415 0.7500 0.4721  3 Pt 3.18-3.25, 4 Tl 3.51-3.55
Sr7 0.8585 0.2500 0.9721  3 Pt 3.18-3.25, 4 Tl 3.51-3.55
Sr8 0.8952 0.7500 0.7573  3 Pt 3.21-3.25, 4 Tl 3.49-3.56
Tl1 0.0364 0.0508 0.7455  3 Pt 2.89-2.97
Tl2 0.0364 0.4492 0.7455  3 Pt 2.89-2.97
Tl3 0.2152 0.5507 0.5152  3 Pt 2.91-2.98
Tl4 0.2152 0.9493 0.5152  3 Pt 2.91-2.98
Tl5 0.2848 0.0507 0.0152  3 Pt 2.91-2.98
Tl6 0.2848 0.4493 0.0152  3 Pt 2.91-2.98
Tl7 0.4636 0.5508 0.2455  3 Pt 2.89-2.97
Tl8 0.4636 0.9492 0.2455  3 Pt 2.89-2.97
Tl9 0.5364 0.0508 0.7545  3 Pt 2.89-2.97
Tl10 0.5364 0.4492 0.7545  3 Pt 2.89-2.97
Tl11 0.7152 0.5507 0.9848  3 Pt 2.91-2.98
Tl12 0.7152 0.9493 0.9848  3 Pt 2.91-2.98
Tl13 0.7848 0.0507 0.4848  3 Pt 2.91-2.98
Tl14 0.7848 0.4493 0.4848  3 Pt 2.91-2.98
Tl15 0.9636 0.5508 0.2545  3 Pt 2.89-2.97
Tl16 0.9636 0.9492 0.2545  3 Pt 2.89-2.97
Pt1 0.0727 0.7500 0.5231  6 Tl 2.91-2.97, 3 Sr 3.18-3.25
Pt2 0.1772 0.2500 0.7385  6 Tl 2.89-2.98, 1 Sr 3.21
Pt3 0.3228 0.7500 0.2385  6 Tl 2.89-2.98, 1 Sr 3.21
Pt4 0.4273 0.2500 0.0231  6 Tl 2.91-2.97, 3 Sr 3.18-3.25
Pt5 0.5727 0.7500 0.9769  6 Tl 2.91-2.97, 3 Sr 3.18-3.25
Pt6 0.6772 0.2500 0.7615  6 Tl 2.89-2.98, 1 Sr 3.21
Pt7 0.8228 0.7500 0.2615  6 Tl 2.89-2.98, 1 Sr 3.21
Pt8 0.9273 0.2500 0.4769  6 Tl 2.91-2.97, 3 Sr 3.18-3.25

---

[8]
SrTl3Pt | GGA-PBE | relaxed

Values from the calculation:
Electronic total energy, eV/cell: -15.34
E above lowest polymorph, eV/atom: 0.000
ρ, g cm⁻³: 9.355
DOS(E_F), states/eV/f.u.: 4.7

Unit cell a=5.4177 b=5.4177 c=5.4177 alpha=90.00 beta=90.00 gamma=90.00
Last column: nearest neighbours and their distance in Å.
Fractional positions:
Sr1 0.0000 0.0000 0.0000  12 Tl 3.83
Tl1 0.0000 0.5000 0.5000  2 Pt 2.71
Tl2 0.5000 0.0000 0.5000  2 Pt 2.71
Tl3 0.5000 0.5000 0.0000  2 Pt 2.71
Pt1 0.5000 0.5000 0.5000  6 Tl 2.71

---

[9]
SrTlPt2 | GGA-PBE | relaxed

Values from the calculation:
Electronic total energy, eV/cell: -34.19
ρ, g cm⁻³: 9.479
DOS(E_F), states/eV/f.u.: 2.3

Unit cell a=10.0062 b=10.0062 c=10.0062 alpha=150.73 beta=150.73 gamma=41.88
Last column: nearest neighbours and their distance in Å.
Fractional positions:
Sr1 0.0000 0.0000 0.0000  8 Pt 3.47-3.88, 4 Tl 3.58
Sr2 0.7500 0.2500 0.5000  8 Pt 3.47-3.88, 4 Tl 3.58
Tl1 0.2500 0.7500 0.5000  4 Pt 2.67
Tl2 0.5000 0.5000 0.0000  4 Pt 2.67
Pt1 0.3159 0.6250 0.1909  2 Pt 2.60, 2 Tl 2.67
Pt2 0.3750 0.5659 0.6909  2 Pt 2.60, 2 Tl 2.67
Pt3 0.4341 0.1250 0.8091  2 Pt 2.60, 2 Tl 2.67
Pt4 0.8750 0.6841 0.3091  2 Pt 2.60, 2 Tl 2.67

---

[10]
Sr2Tl3Pt | GGA-PBE | relaxed

Values from the calculation:
Electronic total energy, eV/cell: -19.25
ρ, g cm⁻³: 9.299
DOS(E_F), states/eV/f.u.: 2.4

Unit cell a=6.2773 b=6.2773 c=7.9262 alpha=125.26 beta=125.26 gamma=46.25
Last column: nearest neighbours and their distance in Å.
Fractional positions:
Sr1 0.0000 0.0000 0.0000  9 Tl 3.40-3.74, 2 Pt 3.50
Sr2 0.1166 0.1166 0.6183  3 Pt 3.26-3.52, 7 Tl 3.48-3.61
Tl1 0.3935 0.3935 0.2367  1 Pt 2.97, 3 Tl 3.07-3.28
Tl2 0.6991 0.6991 0.9929  1 Pt 2.83, 2 Tl 3.07
Tl3 0.7415 0.7415 0.4307  2 Pt 2.86, 1 Tl 3.19
Pt1 0.3977 0.3977 0.6157  4 Tl 2.83-2.97

---

[11]
SrTmPt4 | GGA-PBE | relaxed

Values from the calculation:
Electronic total energy, eV/cell: -36.02
ρ, g cm⁻³: 14.737
DOS(E_F), states/eV/f.u.: 6.8

Unit cell a=5.4873 b=5.4873 c=5.4873 alpha=60.00 beta=60.00 gamma=60.00
Last column: nearest neighbours and their distance in Å.
Fractional positions:
Sr1 0.0000 0.0000 0.0000  12 Pt 3.22, 4 Tm 3.36
Tm1 0.7500 0.7500 0.7500  12 Pt 3.22, 4 Sr 3.36
Pt1 0.3753 0.3753 0.3753  6 Pt 2.74-2.75
Pt2 0.3753 0.3753 0.8742  6 Pt 2.74-2.75
Pt3 0.3753 0.8742 0.3753  6 Pt 2.74-2.75
Pt4 0.8742 0.3753 0.3753  6 Pt 2.74-2.75

---

Table of ΔH_f (0 K) (eV per formula unit), in record order: -2.1, -3.2, -3.6, -1.3, -0.7, -3.8, -1.8, -0.5, -1.0, -2.7, -5.7